(1)
The following is a DFT calculation (PBE-GGA) of Pa2GePbN5 after structural relaxation.

For the formation energy (no corrections), the calculation gives -5.320 eV per formula unit. As for the crystal system: tetragonal. For the uncorrected energy, the calculation gives -148.5 eV/cell.

It has space group P4/mbm (No. 127), with a = 6.714 Å, b = 6.714 Å, c = 5.736 Å, α = 90.00°, β = 90.00° and γ = 90.00°. The asymmetric unit holds Pa at (0.183, 0.317, 0.000), Ge at (0.000, 0.500, 0.500), Pb at (0.000, 0.000, 0.500), N at (0.000, 0.000, 0.000) and N at (0.139, 0.639, 0.251).

---

(2)
The following is a DFT calculation (PBE-GGA) of CaPdPt2 after structural relaxation.

As for the crystal system: tetragonal. The formation energy comes out at -0.29 eV per atom. For the uncorrected energy, the calculation gives -81.7 eV/cell.

It has space group I-42d (No. 122), with a = 3.938 Å, b = 3.938 Å, c = 19.604 Å, α = 90.00°, β = 90.00° and γ = 90.00°. The asymmetric unit holds Ca at (0.000, 0.000, 0.000), Pd at (0.000, 0.000, 0.500) and Pt at (0.233, 0.250, 0.625).

---

Please write out number 1 again, unchanged.
The following is a DFT calculation (PBE-GGA) of Pa2GePbN5 after structural relaxation.

For the formation energy (no corrections), the calculation gives -5.320 eV per formula unit. As for the crystal system: tetragonal. For the uncorrected energy, the calculation gives -148.5 eV/cell.

It has space group P4/mbm (No. 127), with a = 6.714 Å, b = 6.714 Å, c = 5.736 Å, α = 90.00°, β = 90.00° and γ = 90.00°. The asymmetric unit holds Pa at (0.183, 0.317, 0.000), Ge at (0.000, 0.500, 0.500), Pb at (0.000, 0.000, 0.500), N at (0.000, 0.000, 0.000) and N at (0.139, 0.639, 0.251).

---

Look up the uncorrected energy of the first one. -148.5 eV/cell

---

Among the records above, which one has the lowest uncorrected energy? Pa2GePbN5

---

Number 2 is which compound? CaPdPt2